The following is a DFT calculation (PBE+U) of crystalline Li2MnCrO4 at its relaxed geometry.

a = 5.983 Å, b = 10.258 Å, c = 10.262 Å
α = 108.14°, β = 91.02°, γ = 92.08°
Sites, in units of the cell vectors:
1 Li 0.001 0.248 0.248
2 Li 0.001 0.251 0.750
3 Li 0.240 0.255 0.007
4 Li 0.249 0.501 0.251
5 Li 0.250 0.750 0.501
6 Li 0.256 0.999 0.750
7 Li 0.493 0.754 0.254
8 Li 0.498 0.250 0.249
9 Li 0.502 0.750 0.751
10 Li 0.507 0.246 0.746
11 Li 0.744 0.001 0.250
12 Li 0.750 0.250 0.499
13 Li 0.751 0.499 0.749
14 Li 0.760 0.745 0.993
15 Li 0.999 0.749 0.250
16 Li 0.999 0.752 0.752
17 Mn 0.000 0.000 0.000
18 Mn 0.000 0.500 0.000
19 Mn 0.252 0.251 0.500
20 Mn 0.254 0.749 0.999
21 Mn 0.500 0.000 0.000
22 Mn 0.500 0.500 0.500
23 Mn 0.746 0.251 0.001
24 Mn 0.748 0.749 0.500
25 Cr 0.000 0.000 0.500
26 Cr 0.000 0.500 0.500
27 Cr 0.245 0.003 0.251
28 Cr 0.251 0.500 0.750
29 Cr 0.500 0.000 0.500
30 Cr 0.500 0.500 0.000
31 Cr 0.749 0.500 0.250
32 Cr 0.755 0.997 0.749
33 O 0.000 0.385 0.629
34 O 0.000 0.615 0.371
35 O 0.003 0.113 0.875
36 O 0.022 0.123 0.379
37 O 0.028 0.620 0.877
38 O 0.231 0.119 0.124
39 O 0.237 0.390 0.885
40 O 0.240 0.888 0.381
41 O 0.242 0.380 0.392
42 O 0.258 0.622 0.109
43 O 0.259 0.122 0.610
44 O 0.263 0.610 0.616
45 O 0.274 0.871 0.885
46 O 0.471 0.883 0.126
47 O 0.475 0.379 0.623
48 O 0.497 0.115 0.373
49 O 0.497 0.387 0.129
50 O 0.503 0.613 0.871
51 O 0.503 0.885 0.627
52 O 0.525 0.621 0.377
53 O 0.529 0.117 0.874
54 O 0.726 0.129 0.115
55 O 0.737 0.390 0.384
56 O 0.741 0.878 0.390
57 O 0.742 0.378 0.891
58 O 0.758 0.620 0.608
59 O 0.760 0.112 0.619
60 O 0.763 0.610 0.115
61 O 0.769 0.881 0.876
62 O 0.972 0.380 0.123
63 O 0.978 0.877 0.621
64 O 0.997 0.887 0.125

## Properties
The theoretical density is 4.1 g cm⁻³. Its electronic total energy is -53.74 eV/f.u.